Material: NdF3
Method: DFT, SCAN
State: single point on PBEsol structure

```
NdF3
1.0
6.957 0.000 0.000
-3.479 6.025 0.000
0.000 0.000 7.164
Nd F
6 18
Direct
0.000 0.326 0.747 Nd
0.326 0.326 0.247 Nd
0.674 0.000 0.247 Nd
0.326 0.000 0.747 Nd
0.674 0.674 0.747 Nd
0.000 0.674 0.247 Nd
0.000 0.379 0.078 F
0.379 0.379 0.578 F
0.621 0.000 0.578 F
0.379 0.000 0.078 F
0.621 0.621 0.078 F
0.000 0.621 0.578 F
0.000 0.000 0.172 F
0.000 0.000 0.672 F
0.333 0.667 0.294 F
0.667 0.333 0.794 F
0.333 0.667 0.794 F
0.667 0.333 0.294 F
0.000 0.724 0.915 F
0.724 0.724 0.415 F
0.276 0.000 0.415 F
0.724 0.000 0.915 F
0.276 0.276 0.915 F
0.000 0.276 0.415 F
```

Values from the calculation:
SG: P6_3cm (185)
formation energy without anion corrections: -4.434 eV per atom

Material: NdOF
Method: DFT, SCAN
State: single point on PBEsol structure

```
NdOF
1.0
3.935 0.000 0.000
1.967 3.408 0.000
1.967 1.136 6.532
Nd O F
2 2 2
Direct
0.742 0.742 0.774 Nd
0.258 0.258 0.226 Nd
0.622 0.622 0.134 O
0.378 0.378 0.866 O
0.870 0.870 0.390 F
0.130 0.130 0.610 F
```

Values from the calculation:
SG: R-3m (166)
formation energy without anion corrections: -4.120 eV per atom

Material: NdOF
Method: DFT, SCAN
State: single point on PBEsol structure

```
NdOF
1.0
-3.168 -0.587 2.274
-0.548 -3.489 1.756
0.411 -0.327 3.909
Nd O F
1 1 1
Direct
0.000 0.000 0.000 Nd
0.750 0.750 0.750 O
0.250 0.250 0.250 F
```

Values from the calculation:
SG: F-43m (216)
formation energy without anion corrections: -4.076 eV per atom

Material: Nd6S3O2F8
Method: DFT, SCAN
State: single point on PBEsol structure

```
Nd6S3O2F8
1.0
-2.914 2.055 1.388
-7.068 -2.534 -11.089
-0.872 -8.362 10.549
Nd S O F
12 6 4 16
Direct
0.500 0.944 0.228 Nd
0.500 0.282 0.056 Nd
0.500 0.764 0.712 Nd
0.000 0.053 0.762 Nd
0.000 0.709 0.946 Nd
0.000 0.236 0.292 Nd
0.500 0.611 0.139 Nd
0.500 0.526 0.395 Nd
0.500 0.862 0.476 Nd
0.000 0.397 0.860 Nd
0.000 0.476 0.603 Nd
0.000 0.143 0.535 Nd
0.500 0.273 0.472 S
0.500 0.199 0.722 S
0.500 0.527 0.809 S
0.000 0.723 0.530 S
0.000 0.812 0.282 S
0.000 0.466 0.185 S
0.500 0.568 0.587 O
0.000 0.984 0.565 O
0.000 0.583 0.021 O
0.000 0.431 0.411 O
0.500 0.665 0.333 F
0.000 0.338 0.667 F
0.500 0.105 0.204 F
0.500 0.098 0.891 F
0.500 0.795 0.904 F
0.000 0.894 0.796 F
0.000 0.904 0.106 F
0.000 0.198 0.096 F
0.500 0.753 0.073 F
0.500 0.316 0.246 F
0.500 0.930 0.681 F
0.000 0.253 0.929 F
0.000 0.680 0.754 F
0.000 0.068 0.323 F
0.500 0.022 0.434 F
0.500 0.410 0.977 F
```

Values from the calculation:
SG: Pm (6)
formation energy without anion corrections: -3.829 eV per atom

Material: NdPb6F15
Method: DFT, SCAN
State: single point on PBEsol structure

```
NdPb6F15
1.0
-1.299 2.848 -2.658
-2.669 -1.792 2.555
5.894 15.836 17.265
Nd Pb F
1 6 15
Direct
0.574 0.266 0.840 Nd
0.004 0.982 0.987 Pb
0.433 0.698 0.132 Pb
0.862 0.413 0.275 Pb
0.291 0.127 0.419 Pb
0.150 0.555 0.706 Pb
0.721 0.842 0.563 Pb
0.791 0.377 0.168 F
0.076 0.020 0.096 F
0.220 0.092 0.312 F
0.503 0.734 0.237 F
0.649 0.806 0.454 F
0.933 0.448 0.382 F
0.081 0.521 0.602 F
0.363 0.163 0.526 F
0.508 0.234 0.741 F
0.939 0.949 0.889 F
0.791 0.876 0.666 F
0.874 0.916 0.790 F
0.240 0.599 0.839 F
0.360 0.660 0.021 F
0.642 0.301 0.943 F
```

Values from the calculation:
SG: Cm (8)
formation energy without anion corrections: -2.772 eV per atom

Material: Rb3NdF6
Method: DFT, SCAN
State: single point on PBEsol structure

```
Rb3NdF6
1.0
7.019 -0.040 0.058
-3.255 6.219 -0.058
3.255 2.253 5.797
Rb Nd F
3 1 6
Direct
0.500 0.250 0.250 Rb
0.500 0.750 0.750 Rb
0.000 0.500 0.500 Rb
0.000 0.000 0.000 Nd
0.311 0.000 0.689 F
0.689 0.000 0.311 F
0.311 0.311 0.000 F
0.689 0.689 0.000 F
0.000 0.763 0.237 F
0.000 0.237 0.763 F
```

Values from the calculation:
SG: I4/mmm (139)
formation energy without anion corrections: -3.342 eV per atom

Material: Rb3NdF6
Method: DFT, SCAN
State: single point on PBEsol structure

```
Rb3NdF6
1.0
-4.206 -5.153 1.765
2.435 -6.419 0.477
0.625 -2.994 6.165
Nd Rb F
1 3 6
Direct
0.000 0.000 0.000 Nd
0.750 0.750 0.750 Rb
0.250 0.250 0.250 Rb
0.500 0.500 0.500 Rb
0.231 0.769 0.231 F
0.231 0.231 0.769 F
0.769 0.769 0.231 F
0.231 0.769 0.769 F
0.769 0.231 0.769 F
0.769 0.231 0.231 F
```

Values from the calculation:
SG: Fm-3m (225)
formation energy without anion corrections: -3.380 eV per atom

Material: RbNdF4
Method: DFT, SCAN
State: single point on PBEsol structure

```
RbNdF4
1.0
-3.305 1.362 -1.083
-2.765 -2.791 4.929
2.509 13.101 8.827
Rb Nd F
4 4 16
Direct
0.750 0.777 0.798 Rb
0.250 0.223 0.202 Rb
0.250 0.723 0.298 Rb
0.750 0.277 0.702 Rb
0.750 0.248 0.443 Nd
0.250 0.752 0.557 Nd
0.250 0.252 0.943 Nd
0.750 0.748 0.057 Nd
0.750 0.892 0.628 F
0.250 0.108 0.372 F
0.250 0.608 0.128 F
0.750 0.392 0.872 F
0.750 0.867 0.464 F
0.250 0.133 0.536 F
0.250 0.633 0.964 F
0.750 0.367 0.036 F
0.750 0.999 0.945 F
0.250 0.001 0.055 F
0.250 0.501 0.445 F
0.750 0.499 0.555 F
0.750 0.901 0.186 F
0.250 0.099 0.814 F
0.250 0.599 0.686 F
0.750 0.401 0.314 F
```

Values from the calculation:
SG: Pnma (62)
formation energy without anion corrections: -3.953 eV per atom

Here are the calculated spin magnetization numbers, same order: 0.00 0.00 0.05 0.00 0.00 0.00 0.00 0.27 (μB per cell).
Here are the calculated VASP energy numbers, same order: -17.98 -21.90 -21.86 -21.26 -27.83 -16.05 -16.08 -17.03 (eV/atom).
Here are the calculated Fermi-level density of states numbers, same order: 0.00 0.00 0.00 0.00 0.00 0.00 0.00 0.00 (states/eV/f.u.).